# LaCrIr

LaCrIr at its PBEsol-relaxed geometry (meta-GGA SCAN, the Alexandria database).

Cell lengths 4.599, 4.599, 4.599 Å; angles 60.00, 60.00, 60.00 degrees
Site moments in Bohr magnetons follow the coordinates.
Atoms (fractional coordinates):
Cr  0.500  0.500  0.500  3.75
Ir  0.250  0.250  0.250  -0.01
La  0.000  0.000  0.000  0.01

Output
calculated volume: 68.8 Å³/cell
formation energy from the elements: -105.7 meV/atom



# LaCr2Ir

LaCr2Ir at its PBEsol-relaxed geometry (meta-GGA SCAN, the Alexandria database).

Cell lengths 2.781, 2.781, 9.599 Å; angles 81.67, 81.67, 60.00 degrees
Atoms (fractional coordinates):
Cr  0.238  0.238  0.286
Cr  0.762  0.762  0.714
Ir  0.500  0.500  0.500
La  0.000  0.000  0.000

Output
calculated volume: 63.4 Å³/cell
formation energy from the elements: 841.4 meV/atom
energy above the most stable polymorph in this dataset: 46.24 kJ per mole of atoms



# LaCr2Ir

LaCr2Ir at its PBEsol-relaxed geometry (meta-GGA SCAN, the Alexandria database).

Cell lengths 2.811, 4.272, 5.876 Å; angles 90.00, 102.32, 90.00 degrees
Atoms (fractional coordinates):
Cr  0.829  0.000  0.841
Cr  0.171  0.000  0.159
Ir  0.500  0.500  0.000
La  0.000  0.500  0.500

Output
calculated volume: 68.9 Å³/cell
formation energy from the elements: 362.2 meV/atom
energy above the most stable polymorph in this dataset: 0.00 kJ per mole of atoms



# LiCr2Ir

LiCr2Ir at its PBEsol-relaxed geometry (meta-GGA SCAN, the Alexandria database).

Cell lengths 4.729, 5.301, 5.301 Å; angles 78.52, 63.51, 63.51 degrees
Atoms (fractional coordinates):
Cr  0.102  0.023  0.523
Cr  0.648  0.977  0.477
Cr  0.375  0.523  0.977
Cr  0.875  0.477  0.023
Ir  0.750  0.500  0.500
Ir  0.000  0.000  0.000
Li  0.250  0.500  0.500
Li  0.500  0.000  0.000

Output
calculated volume: 106.5 Å³/cell
formation energy from the elements: 613.9 meV/atom



# LiCr2Ir

LiCr2Ir at its PBEsol-relaxed geometry (meta-GGA SCAN, the Alexandria database).

Cell lengths 2.819, 4.240, 4.240 Å; angles 90.00, 90.00, 90.00 degrees
Site moments in Bohr magnetons follow the coordinates.
Atoms (fractional coordinates):
Cr  0.000  0.000  0.500  2.28
Cr  0.000  0.500  0.000  2.28
Ir  0.500  0.500  0.500  -0.21
Li  0.500  0.000  0.000  -0.02

Output
calculated volume: 50.7 Å³/cell
formation energy from the elements: 65.9 meV/atom



# LiCr2Ir

LiCr2Ir at its PBEsol-relaxed geometry (meta-GGA SCAN, the Alexandria database).

Cell lengths 2.833, 3.868, 4.849 Å; angles 113.51, 106.99, 90.00 degrees
Atoms (fractional coordinates):
Cr  0.753  0.753  0.506
Cr  0.247  0.247  0.494
Ir  0.500  0.000  0.000
Li  0.000  0.500  0.000

Output
calculated volume: 46.2 Å³/cell
formation energy from the elements: 22.7 meV/atom



# LiCr2Ir

LiCr2Ir at its PBEsol-relaxed geometry (meta-GGA SCAN, the Alexandria database).

Cell lengths 4.081, 4.081, 4.081 Å; angles 60.00, 60.00, 60.00 degrees
Site moments in Bohr magnetons follow the coordinates.
Atoms (fractional coordinates):
Cr  0.000  0.000  0.000  3.04
Cr  0.250  0.250  0.250  -1.69
Ir  0.500  0.500  0.500  0.24
Li  0.750  0.750  0.750  0.02

Output
calculated volume: 48.1 Å³/cell
formation energy from the elements: -204.3 meV/atom



# LiCrIr

LiCrIr at its PBEsol-relaxed geometry (meta-GGA SCAN, the Alexandria database).

Cell lengths 3.851, 3.851, 3.851 Å; angles 60.00, 60.00, 60.00 degrees
Site moments in Bohr magnetons follow the coordinates.
Atoms (fractional coordinates):
Cr  0.000  0.000  0.000  3.34
Ir  0.500  0.500  0.500  -0.18
Li  0.250  0.250  0.250  0.03

Output
calculated volume: 40.4 Å³/cell
formation energy from the elements: 576.6 meV/atom



# Li2CrIrN

Li2CrIrN at its PBEsol-relaxed geometry (meta-GGA SCAN, the Alexandria database).

Cell lengths 3.666, 3.787, 3.787 Å; angles 90.00, 90.00, 90.00 degrees
Site moments in Bohr magnetons follow the coordinates.
Atoms (fractional coordinates):
Cr  0.500  0.000  0.000  2.12
Ir  0.500  0.500  0.500  -0.32
Li  0.000  0.000  0.500  0.00
Li  0.000  0.500  0.000  0.00
N  0.000  0.000  0.000  -0.29

Output
calculated volume: 52.6 Å³/cell
raw formation energy: -59 kJ/mol of formula units



# MgCr2Ir

MgCr2Ir at its PBEsol-relaxed geometry (meta-GGA SCAN, the Alexandria database).

Cell lengths 3.542, 3.542, 4.861 Å; angles 111.36, 111.36, 90.00 degrees
Atoms (fractional coordinates):
Cr  0.750  0.250  0.500
Cr  0.250  0.750  0.500
Ir  0.500  0.500  0.000
Mg  0.000  0.000  0.000

Output
calculated volume: 52.3 Å³/cell
formation energy from the elements: 185.0 meV/atom



# MgCrIr2

MgCrIr2 at its PBEsol-relaxed geometry (meta-GGA SCAN, the Alexandria database).

Cell lengths 2.761, 2.761, 7.268 Å; angles 90.00, 90.00, 90.00 degrees
Atoms (fractional coordinates):
Cr  0.500  0.500  0.500
Mg  0.500  0.500  0.000
Ir  0.000  0.000  0.726
Ir  0.000  0.000  0.274

Output
calculated volume: 55.4 Å³/cell
formation energy from the elements: -377.7 meV/atom



# MgCrIr2

MgCrIr2 at its PBEsol-relaxed geometry (meta-GGA SCAN, the Alexandria database).

Cell lengths 2.691, 4.988, 4.988 Å; angles 114.30, 102.36, 102.36 degrees
Site moments in Bohr magnetons follow the coordinates.
Atoms (fractional coordinates):
Cr  0.500  0.500  0.500  3.20
Ir  0.000  0.500  0.000  0.01
Ir  0.000  0.000  0.500  0.01
Mg  0.500  0.000  0.000  -0.01

Output
calculated volume: 56.1 Å³/cell
formation energy from the elements: -79.5 meV/atom



# MgCr2Ir

MgCr2Ir at its PBEsol-relaxed geometry (meta-GGA SCAN, the Alexandria database).

Cell lengths 3.008, 4.122, 4.393 Å; angles 90.00, 90.00, 90.00 degrees
Site moments in Bohr magnetons follow the coordinates.
Atoms (fractional coordinates):
Cr  0.000  0.000  0.000  -2.71
Cr  0.500  0.500  0.000  3.21
Ir  0.500  0.000  0.500  0.07
Mg  0.000  0.500  0.500  0.02

Output
calculated volume: 54.5 Å³/cell
formation energy from the elements: -226.9 meV/atom



# Mg2CrIr

Mg2CrIr at its PBEsol-relaxed geometry (meta-GGA SCAN, the Alexandria database).

Cell lengths 3.991, 3.991, 4.847 Å; angles 114.31, 114.31, 90.00 degrees
Site moments in Bohr magnetons follow the coordinates.
Atoms (fractional coordinates):
Cr  0.500  0.500  0.000  3.70
Ir  0.000  0.000  0.000  0.13
Mg  0.750  0.250  0.500  0.00
Mg  0.250  0.750  0.500  0.00

Output
calculated volume: 62.8 Å³/cell
formation energy from the elements: -221.4 meV/atom
energy above the most stable polymorph in this dataset: 0.00 kJ per mole of atoms



# MgCrIr2

MgCrIr2 at its PBEsol-relaxed geometry (meta-GGA SCAN, the Alexandria database).

Cell lengths 2.719, 3.920, 5.279 Å; angles 90.00, 90.00, 90.00 degrees
Site moments in Bohr magnetons follow the coordinates.
Atoms (fractional coordinates):
Cr  0.500  0.500  0.772  2.78
Ir  0.000  0.000  0.977  -0.32
Ir  0.500  0.500  0.264  -0.03
Mg  0.000  0.000  0.487  -0.01

Output
calculated volume: 56.3 Å³/cell
formation energy from the elements: -175.6 meV/atom



# Mg2CrIr

Mg2CrIr at its PBEsol-relaxed geometry (meta-GGA SCAN, the Alexandria database).

Cell lengths 3.129, 4.492, 5.200 Å; angles 115.59, 107.51, 90.00 degrees
Site moments in Bohr magnetons follow the coordinates.
Atoms (fractional coordinates):
Cr  0.500  0.000  0.000  3.46
Ir  0.000  0.500  0.000  0.00
Mg  0.741  0.741  0.482  -0.02
Mg  0.259  0.259  0.518  -0.02

Output
calculated volume: 62.1 Å³/cell
formation energy from the elements: -142.5 meV/atom
energy above the most stable polymorph in this dataset: 7.61 kJ per mole of atoms



# MgCr2Ir

MgCr2Ir at its PBEsol-relaxed geometry (meta-GGA SCAN, the Alexandria database).

Cell lengths 4.250, 4.250, 4.250 Å; angles 60.00, 60.00, 60.00 degrees
Site moments in Bohr magnetons follow the coordinates.
Atoms (fractional coordinates):
Cr  0.000  0.000  0.000  3.20
Cr  0.750  0.750  0.750  -2.55
Ir  0.500  0.500  0.500  0.05
Mg  0.250  0.250  0.250  0.03

Output
calculated volume: 54.3 Å³/cell
formation energy from the elements: -227.0 meV/atom



# MgCrIr2

MgCrIr2 at its PBEsol-relaxed geometry (meta-GGA SCAN, the Alexandria database).

Cell lengths 4.321, 4.321, 4.321 Å; angles 60.00, 60.00, 60.00 degrees
Site moments in Bohr magnetons follow the coordinates.
Atoms (fractional coordinates):
Cr  0.500  0.500  0.500  3.15
Ir  0.000  0.000  0.000  -0.71
Ir  0.250  0.250  0.250  -0.35
Mg  0.750  0.750  0.750  0.01

Output
calculated volume: 57.1 Å³/cell
formation energy from the elements: -17.4 meV/atom



# Mn2CrIr

Mn2CrIr at its PBEsol-relaxed geometry (meta-GGA SCAN, the Alexandria database).

Cell lengths 4.153, 4.153, 4.153 Å; angles 60.00, 60.00, 60.00 degrees
Site moments in Bohr magnetons follow the coordinates.
Atoms (fractional coordinates):
Cr  0.000  0.000  0.000  -2.74
Ir  0.500  0.500  0.500  0.45
Mn  0.250  0.250  0.250  3.60
Mn  0.750  0.750  0.750  3.60

Output
calculated volume: 50.6 Å³/cell
formation energy from the elements: -501.2 meV/atom



# MnCrIr2

MnCrIr2 at its PBEsol-relaxed geometry (meta-GGA SCAN, the Alexandria database).

Cell lengths 3.748, 3.748, 4.486 Å; angles 114.70, 114.70, 90.00 degrees
Site moments in Bohr magnetons follow the coordinates.
Atoms (fractional coordinates):
Cr  0.000  0.000  0.000  -1.92
Ir  0.750  0.250  0.500  -0.02
Ir  0.250  0.750  0.500  -0.02
Mn  0.500  0.500  0.000  3.05

Output
calculated volume: 50.8 Å³/cell
formation energy from the elements: -434.6 meV/atom
energy above the most stable polymorph in this dataset: 12.10 kJ per mole of atoms